Record 1
First-principles (PBE) data for a geometry-optimized NpTeI structure, as listed in Alexandria via LeMat-Bulk.

Structure (CIF):
```
data_NpTeI
_chemical_formula_sum 'Np2 Te2 I2'
_cell_length_a 4.4053
_cell_length_b 6.1407
_cell_length_c 9.4918
_cell_angle_alpha 90.00
_cell_angle_beta 90.00
_cell_angle_gamma 90.00
_symmetry_space_group_name_H-M 'P m m n'
_symmetry_Int_Tables_number 59
loop_
_symmetry_equiv_pos_as_xyz
'x,y,z'
'-x,-y,-z'
'-x+1/2,-y+1/2,z'
'x+1/2,y+1/2,-z'
'x+1/2,-y,-z'
'-x+1/2,y,z'
'-x,y+1/2,-z'
'x,-y+1/2,z'
loop_
_atom_site_label
_atom_site_type_symbol
_atom_site_fract_x
_atom_site_fract_y
_atom_site_fract_z
Np1 Np 0.2500 0.2500 0.1290
Te1 Te 0.2500 0.7500 0.1032
I1 I 0.2500 0.7500 0.6413
```

Values from the calculation:
formation energy from raw total energies	-0.744	eV per atom
energy above the most stable polymorph in this dataset	0	kJ/mol of formula units
V	42.79	Å³ per atom



Record 2
First-principles (PBE) data for a geometry-optimized Ba2Ti3S8 structure, as listed in Alexandria via LeMat-Bulk.

Structure (CIF):
```
data_Ba2Ti3S8
_chemical_formula_sum 'Ba4 Ti6 S16'
_cell_length_a 14.8529
_cell_length_b 7.2870
_cell_length_c 6.3708
_cell_angle_alpha 90.00
_cell_angle_beta 107.49
_cell_angle_gamma 90.00
_symmetry_space_group_name_H-M 'C 1 2/m 1'
_symmetry_Int_Tables_number 12
_symmetry_space_group_name_Hall '-C 2y'
loop_
_atom_site_label
_atom_site_type_symbol
_atom_site_fract_x
_atom_site_fract_y
_atom_site_fract_z
Ba1 Ba 0.2403 0.0000 0.1818
Ti1 Ti 0.0000 0.2385 0.5000
Ti2 Ti 0.0000 0.5000 0.0000
S1 S 0.0929 0.2665 0.8867
S2 S 0.0938 0.5000 0.3887
S3 S 0.1042 0.0000 0.4673
```

Values from the calculation:
formation energy from raw total energies	-1.494	eV per atom
V	25.29	Å³ per atom



Record 3
First-principles (PBE) data for a geometry-optimized Si2SbW structure, as listed in Alexandria via LeMat-Bulk.

Structure (CIF):
```
data_Si2SbW
_chemical_formula_sum 'Si4 Sb2 W2'
_cell_length_a 4.2798
_cell_length_b 3.4931
_cell_length_c 9.4634
_cell_angle_alpha 90.00
_cell_angle_beta 90.00
_cell_angle_gamma 90.00
_symmetry_space_group_name_H-M 'A m m 2'
_symmetry_Int_Tables_number 38
_symmetry_space_group_name_Hall 'A 2 -2'
loop_
_atom_site_label
_atom_site_type_symbol
_atom_site_fract_x
_atom_site_fract_y
_atom_site_fract_z
Si1 Si 0.0000 0.0000 0.0000
Si2 Si 0.5000 0.0000 0.4351
Sb1 Sb 0.0000 0.0000 0.7340
W1 W 0.5000 0.0000 0.1386
```

Values from the calculation:
formation energy from raw total energies	0.251	eV per atom
V	17.68	Å³ per atom



Record 4
First-principles (PBE) data for a geometry-optimized LaTcOs2 structure, as listed in Alexandria via LeMat-Bulk.

Structure (CIF):
```
data_LaTcOs2
_chemical_formula_sum 'La1 Tc1 Os2'
_cell_length_a 3.0423
_cell_length_b 4.7544
_cell_length_c 4.8797
_cell_angle_alpha 90.00
_cell_angle_beta 90.00
_cell_angle_gamma 90.00
_symmetry_space_group_name_H-M 'P m m m'
_symmetry_Int_Tables_number 47
_symmetry_space_group_name_Hall '-P 2 2'
loop_
_atom_site_label
_atom_site_type_symbol
_atom_site_fract_x
_atom_site_fract_y
_atom_site_fract_z
La1 La 0.0000 0.0000 0.0000
Tc1 Tc 0.5000 0.5000 0.0000
Os1 Os 0.0000 0.5000 0.5000
Os2 Os 0.5000 0.0000 0.5000
```

Values from the calculation:
formation enthalpy at 0 K	0.704	eV per atom
energy above the most stable polymorph in this dataset	159	kJ/mol of formula units
V	17.65	Å³ per atom



Record 5
First-principles (PBE) data for a geometry-optimized Ca4SbIr structure, as listed in Alexandria via LeMat-Bulk.

Structure (CIF):
```
data_Ca4SbIr
_chemical_formula_sum 'Ca16 Sb4 Ir4'
_cell_length_a 8.6149
_cell_length_b 8.6149
_cell_length_c 8.6149
_cell_angle_alpha 90.00
_cell_angle_beta 90.00
_cell_angle_gamma 90.00
_symmetry_space_group_name_H-M 'F -4 3 m'
_symmetry_Int_Tables_number 216
_symmetry_space_group_name_Hall 'F -4 2 3'
loop_
_atom_site_label
_atom_site_type_symbol
_atom_site_fract_x
_atom_site_fract_y
_atom_site_fract_z
Ca1 Ca 0.1242 0.1242 0.1242
Sb1 Sb 0.0000 0.0000 0.5000
Ir1 Ir 0.2500 0.2500 0.7500
```

Values from the calculation:
formation energy from raw total energies	0.404	eV per atom
energy above the most stable polymorph in this dataset	580	kJ/mol of formula units
V	26.64	Å³ per atom



Record 6
First-principles (PBE) data for a geometry-optimized Pr3CdCo3 structure, as listed in Alexandria via LeMat-Bulk.

Structure (CIF):
```
data_Pr3CdCo3
_chemical_formula_sum 'Pr6 Cd2 Co6'
_cell_length_a 10.0664
_cell_length_b 10.0664
_cell_length_c 3.8488
_cell_angle_alpha 90.00
_cell_angle_beta 90.00
_cell_angle_gamma 120.00
_symmetry_space_group_name_H-M 'P 63/m'
_symmetry_Int_Tables_number 176
_symmetry_space_group_name_Hall '-P 6c'
loop_
_atom_site_label
_atom_site_type_symbol
_atom_site_fract_x
_atom_site_fract_y
_atom_site_fract_z
Pr1 Pr 0.0627 0.3744 0.2500
Cd1 Cd 0.3333 0.6667 0.7500
Co1 Co 0.0235 0.1526 0.7500
```

Values from the calculation:
formation enthalpy at 0 K	-0.064	eV per atom
V	24.13	Å³ per atom



Record 7
First-principles (PBE) data for a geometry-optimized Tl4In4Pb3 structure, as listed in Alexandria via LeMat-Bulk.

Structure (CIF):
```
data_Tl4In4Pb3
_chemical_formula_sum 'Tl8 In8 Pb6'
_cell_length_a 3.4248
_cell_length_b 10.0833
_cell_length_c 19.6752
_cell_angle_alpha 90.00
_cell_angle_beta 90.00
_cell_angle_gamma 90.00
_symmetry_space_group_name_H-M 'I m m m'
_symmetry_Int_Tables_number 71
_symmetry_space_group_name_Hall '-I 2 2'
loop_
_atom_site_label
_atom_site_type_symbol
_atom_site_fract_x
_atom_site_fract_y
_atom_site_fract_z
Tl1 Tl 0.0000 0.1952 0.1594
In1 In 0.0000 0.2795 0.0000
In2 In 0.0000 0.5000 0.2395
Pb1 Pb 0.0000 0.0000 0.4052
Pb2 Pb 0.0000 0.5000 0.5000
```

Values from the calculation:
formation enthalpy at 0 K	0.048	eV per atom
V	30.88	Å³ per atom



Record 8
First-principles (PBE) data for a geometry-optimized SbTeW2 structure, as listed in Alexandria via LeMat-Bulk.

Structure (CIF):
```
data_SbTeW2
_chemical_formula_sum 'Sb2 Te2 W4'
_cell_length_a 3.3329
_cell_length_b 5.3102
_cell_length_c 8.9597
_cell_angle_alpha 90.00
_cell_angle_beta 90.00
_cell_angle_gamma 90.00
_symmetry_space_group_name_H-M 'C m m m'
_symmetry_Int_Tables_number 65
_symmetry_space_group_name_Hall '-C 2 2'
loop_
_atom_site_label
_atom_site_type_symbol
_atom_site_fract_x
_atom_site_fract_y
_atom_site_fract_z
Sb1 Sb 0.0000 0.0000 0.0000
Te1 Te 0.0000 0.0000 0.5000
W1 W 0.0000 0.5000 0.2455
```

Values from the calculation:
formation energy from raw total energies	1.130	eV per atom
energy above the most stable polymorph in this dataset	328	kJ/mol of formula units
V	19.82	Å³ per atom



Record 9
First-principles (PBE) data for a geometry-optimized LaHoAsSe structure, as listed in Alexandria via LeMat-Bulk.

Structure (CIF):
```
data_LaHoAsSe
_chemical_formula_sum 'La3 Ho3 As3 Se3'
_cell_length_a 4.2033
_cell_length_b 4.2033
_cell_length_c 20.7676
_cell_angle_alpha 90.00
_cell_angle_beta 90.00
_cell_angle_gamma 120.00
_symmetry_space_group_name_H-M 'R 3 m'
_symmetry_Int_Tables_number 160
_symmetry_space_group_name_Hall 'R 3 -2"'
loop_
_atom_site_label
_atom_site_type_symbol
_atom_site_fract_x
_atom_site_fract_y
_atom_site_fract_z
La1 La 0.0000 0.0000 0.0000
Ho1 Ho 0.0000 0.0000 0.4931
As1 As 0.0000 0.0000 0.7523
Se1 Se 0.0000 0.0000 0.2408
```

Values from the calculation:
formation energy from raw total energies	-1.759	eV per atom
V	26.48	Å³ per atom



Record 10
First-principles (PBE) data for a geometry-optimized TaRuI2O structure, as listed in Alexandria via LeMat-Bulk.

Structure (CIF):
```
data_TaRuI2O
_chemical_formula_sum 'Ta1 Ru1 I2 O1'
_cell_length_a 5.5151
_cell_length_b 5.5151
_cell_length_c 3.6750
_cell_angle_alpha 90.00
_cell_angle_beta 90.00
_cell_angle_gamma 90.00
_symmetry_space_group_name_H-M 'P 4/m m m'
_symmetry_Int_Tables_number 123
_symmetry_space_group_name_Hall '-P 4 2'
loop_
_atom_site_label
_atom_site_type_symbol
_atom_site_fract_x
_atom_site_fract_y
_atom_site_fract_z
Ta1 Ta 0.0000 0.0000 0.0000
Ru1 Ru 0.5000 0.5000 0.5000
I1 I 0.0000 0.5000 0.5000
O1 O 0.5000 0.5000 0.0000
```

Values from the calculation:
formation energy from raw total energies	0.569	eV per atom
energy above the most stable polymorph in this dataset	182	kJ/mol of formula units
V	22.36	Å³ per atom



Record 11
First-principles (PBE) data for a geometry-optimized Pa2SnAu structure, as listed in Alexandria via LeMat-Bulk.

Structure (CIF):
```
data_Pa2SnAu
_chemical_formula_sum 'Pa2 Sn1 Au1'
_cell_length_a 3.2977
_cell_length_b 3.2977
_cell_length_c 8.7678
_cell_angle_alpha 90.00
_cell_angle_beta 90.00
_cell_angle_gamma 90.00
_symmetry_space_group_name_H-M 'P 4/m m m'
_symmetry_Int_Tables_number 123
_symmetry_space_group_name_Hall '-P 4 2'
loop_
_atom_site_label
_atom_site_type_symbol
_atom_site_fract_x
_atom_site_fract_y
_atom_site_fract_z
Pa1 Pa 0.0000 0.0000 0.2386
Sn1 Sn 0.5000 0.5000 0.5000
Au1 Au 0.5000 0.5000 0.0000
```

Values from the calculation:
formation enthalpy at 0 K	-0.231	eV per atom
energy above the most stable polymorph in this dataset	0	kJ/mol of formula units
V	23.84	Å³ per atom



Record 12
First-principles (PBE) data for a geometry-optimized MgHgPb structure, as listed in Alexandria via LeMat-Bulk.

Structure (CIF):
```
data_MgHgPb
_chemical_formula_sum 'Mg2 Hg2 Pb2'
_cell_length_a 3.5416
_cell_length_b 3.5416
_cell_length_c 12.2068
_cell_angle_alpha 90.00
_cell_angle_beta 90.00
_cell_angle_gamma 90.00
_symmetry_space_group_name_H-M 'I 4 m m'
_symmetry_Int_Tables_number 107
_symmetry_space_group_name_Hall 'I 4 -2'
loop_
_atom_site_label
_atom_site_type_symbol
_atom_site_fract_x
_atom_site_fract_y
_atom_site_fract_z
Mg1 Mg 0.0000 0.0000 0.0000
Hg1 Hg 0.0000 0.0000 0.3676
Pb1 Pb 0.0000 0.0000 0.6793
```

Values from the calculation:
formation enthalpy at 0 K	-0.080	eV per atom
V	25.52	Å³ per atom